1.
! GaPdPb GGA-PBE optimized geometry; values from VASP
! - energy above the most stable polymorph in this dataset (meV/atom) = 34.2
&SYSTEM
  ibrav = 0, nat = 3, ntyp = 3
/
ATOMIC_SPECIES
Pb 207.20 Pb.upf
Pd 106.42 Pd.upf
Ga 69.72 Ga.upf
CELL_PARAMETERS angstrom
3.3401 0.0000 0.0000
0.0000 3.3401 0.0000
-1.6700 -1.6700 5.6383
ATOMIC_POSITIONS crystal
Pb 0.0083 0.0083 0.0167
Pd 0.6966 0.6966 0.3932
Ga 0.2951 0.2951 0.5901



2.
GaPd12Pb6: optimized geometry, GGA-PBE. Values from VASP.

Geometry as Quantum ESPRESSO input:
```
&SYSTEM
  ibrav = 0, nat = 19, ntyp = 3
/
ATOMIC_SPECIES
Ga 69.72 Ga.upf
Pd 106.42 Pd.upf
Pb 207.20 Pb.upf
CELL_PARAMETERS angstrom
7.4462 -0.3203 -0.3837
-1.4454 7.3115 -0.3837
-1.4454 -1.6840 7.1253
ATOMIC_POSITIONS crystal
Ga 0.0000 0.0000 0.0000
Pd 0.8159 0.5224 0.4020
Pd 0.4020 0.8159 0.5224
Pd 0.5224 0.4020 0.8159
Pd 0.1841 0.4776 0.5980
Pd 0.5980 0.1841 0.4776
Pd 0.4776 0.5980 0.1841
Pd 0.8465 0.7336 0.1178
Pd 0.2664 0.8822 0.1535
Pd 0.8822 0.1535 0.2664
Pd 0.1535 0.2664 0.8822
Pd 0.7336 0.1178 0.8465
Pd 0.1178 0.8465 0.7336
Pb 0.7753 0.8930 0.4896
Pb 0.5104 0.2247 0.1070
Pb 0.1070 0.5104 0.2247
Pb 0.2247 0.1070 0.5104
Pb 0.4896 0.7753 0.8930
Pb 0.8930 0.4896 0.7753
```



3.
Ga2Pd12Pb5: optimized geometry, GGA-PBE. Values from VASP.

Geometry as Quantum ESPRESSO input:
```
&SYSTEM
  ibrav = 0, nat = 19, ntyp = 3
/
ATOMIC_SPECIES
Ga 69.72 Ga.upf
Pd 106.42 Pd.upf
Pb 207.20 Pb.upf
CELL_PARAMETERS angstrom
-3.1519 4.7251 -0.5723
-2.2263 -5.8126 -7.2570
-2.6174 -0.6200 9.2953
ATOMIC_POSITIONS crystal
Ga 0.7521 0.0000 0.0000
Ga 0.2479 0.0000 0.0000
Pd 0.0078 0.0156 0.2236
Pd 0.0805 0.6679 0.9189
Pd 0.5874 0.6679 0.9189
Pd 0.1047 0.7030 0.4434
Pd 0.5983 0.7030 0.4434
Pd 0.4983 0.9965 0.7768
Pd 0.5017 0.0035 0.2232
Pd 0.8953 0.2970 0.5566
Pd 0.4017 0.2970 0.5566
Pd 0.9195 0.3321 0.0811
Pd 0.4126 0.3321 0.0811
Pd 0.9922 0.9844 0.7764
Pb 0.3019 0.6038 0.6277
Pb 0.3276 0.6552 0.1636
Pb 0.0000 0.0000 0.5000
Pb 0.6724 0.3448 0.8364
Pb 0.6981 0.3962 0.3723
```



4.
! GaPdPb3 GGA-PBE optimized geometry; values from VASP
! - energy above the most stable polymorph in this dataset (meV/atom) = 389.3
&SYSTEM
  ibrav = 0, nat = 5, ntyp = 3
/
ATOMIC_SPECIES
Pb 207.20 Pb.upf
Ga 69.72 Ga.upf
Pd 106.42 Pd.upf
CELL_PARAMETERS angstrom
-1.7678 -1.6318 4.8377
-3.5229 -3.3156 -2.4056
3.6953 -3.9415 0.0208
ATOMIC_POSITIONS crystal
Pb 0.0000 0.5000 0.0000
Pb 0.0000 0.0000 0.5000
Pb 0.5000 0.0000 0.0000
Ga 0.0000 0.0000 0.0000
Pd 0.5000 0.5000 0.5000



5.
! GaPdPb GGA-PBE optimized geometry; values from VASP
! - energy above the most stable polymorph in this dataset (meV/atom) = 77.5
&SYSTEM
  ibrav = 0, nat = 3, ntyp = 3
/
ATOMIC_SPECIES
Pb 207.20 Pb.upf
Ga 69.72 Ga.upf
Pd 106.42 Pd.upf
CELL_PARAMETERS angstrom
3.7276 0.0000 0.0000
0.0000 4.4600 0.0000
0.0000 -2.2300 3.8625
ATOMIC_POSITIONS crystal
Pb 0.6666 0.3333 0.6667
Ga 0.1666 0.0000 0.0000
Pd 0.1667 0.6667 0.3333



6.
! Ga2Pd8Pb GGA-PBE optimized geometry; values from VASP
! - energy above the most stable polymorph in this dataset (meV/atom) = 45.6
&SYSTEM
  ibrav = 0, nat = 11, ntyp = 3
/
ATOMIC_SPECIES
Pb 207.20 Pb.upf
Pd 106.42 Pd.upf
Ga 69.72 Ga.upf
CELL_PARAMETERS angstrom
-2.0432 2.2345 3.2103
-4.1024 -4.6908 0.3535
6.8393 -1.7245 2.6850
ATOMIC_POSITIONS crystal
Pb 0.1332 0.9154 0.9092
Pd 0.6705 0.2297 0.9091
Pd 0.9649 0.0286 0.5806
Pd 0.2939 0.3574 0.2375
Pd 0.7655 0.0179 0.1803
Pd 0.3211 0.8541 0.3056
Pd 0.9235 0.4575 0.5127
Pd 0.1932 0.4884 0.9090
Pd 0.4931 0.7469 0.6378
Ga 0.7836 0.6140 0.2332
Ga 0.4575 0.2901 0.5851



7.
! GaPd2Pb2 GGA-PBE optimized geometry; values from VASP
! - energy above the most stable polymorph in this dataset (meV/atom) = 174.9
&SYSTEM
  ibrav = 0, nat = 10, ntyp = 3
/
ATOMIC_SPECIES
Pb 207.20 Pb.upf
Ga 69.72 Ga.upf
Pd 106.42 Pd.upf
CELL_PARAMETERS angstrom
8.2071 0.0000 0.0000
0.0000 8.2071 0.0000
0.0000 0.0000 3.2955
ATOMIC_POSITIONS crystal
Pb 0.3384 0.8384 0.0000
Pb 0.8384 0.6616 0.0000
Pb 0.6616 0.1616 0.0000
Pb 0.1616 0.3384 0.0000
Ga 0.0000 0.0000 0.0000
Ga 0.5000 0.5000 0.0000
Pd 0.1305 0.6305 0.5000
Pd 0.6305 0.8695 0.5000
Pd 0.8695 0.3695 0.5000
Pd 0.3695 0.1305 0.5000



8.
! GaPd4Pb GGA-PBE optimized geometry; values from VASP
! - energy above the most stable polymorph in this dataset (meV/atom) = 82.7
&SYSTEM
  ibrav = 0, nat = 12, ntyp = 3
/
ATOMIC_SPECIES
Ga 69.72 Ga.upf
Pd 106.42 Pd.upf
Pb 207.20 Pb.upf
CELL_PARAMETERS angstrom
5.0252 0.0000 0.9916
0.0000 7.7294 0.0000
0.9933 0.0000 5.4705
ATOMIC_POSITIONS crystal
Ga 0.5000 0.0000 0.5000
Ga 0.0000 0.5000 0.5000
Pd 0.9181 0.6563 0.1396
Pd 0.5819 0.1563 0.8604
Pd 0.6182 0.3314 0.3931
Pd 0.8818 0.8314 0.6069
Pd 0.0819 0.3437 0.8604
Pd 0.4181 0.8437 0.1396
Pd 0.3818 0.6686 0.6069
Pd 0.1182 0.1686 0.3931
Pb 0.0000 0.0000 0.0000
Pb 0.5000 0.5000 0.0000



9.
GaPd2Pb: optimized geometry, GGA-PBE. Values from VASP.

Geometry as Quantum ESPRESSO input:
```
&SYSTEM
  ibrav = 0, nat = 8, ntyp = 3
/
ATOMIC_SPECIES
Pb 207.20 Pb.upf
Ga 69.72 Ga.upf
Pd 106.42 Pd.upf
CELL_PARAMETERS angstrom
7.3581 0.0000 0.0000
0.0000 7.3581 0.0000
3.6791 3.6791 2.9155
ATOMIC_POSITIONS crystal
Pb 0.0000 0.0000 0.0000
Pb 0.7500 0.2500 0.5000
Ga 0.5000 0.5000 0.0000
Ga 0.2500 0.7500 0.5000
Pd 0.5770 0.1250 0.2500
Pd 0.1730 0.6250 0.2500
Pd 0.3750 0.4230 0.7500
Pd 0.8750 0.8270 0.7500
```



10.
GaPd2Pb: optimized geometry, GGA-PBE. Values from VASP.

Geometry as Quantum ESPRESSO input:
```
&SYSTEM
  ibrav = 0, nat = 4, ntyp = 3
/
ATOMIC_SPECIES
Pb 207.20 Pb.upf
Ga 69.72 Ga.upf
Pd 106.42 Pd.upf
CELL_PARAMETERS angstrom
3.1780 0.0000 0.0000
0.0000 3.1780 0.0000
0.0000 0.0000 7.2026
ATOMIC_POSITIONS crystal
Pb 0.5000 0.5000 0.5000
Ga 0.5000 0.5000 0.0000
Pd 0.0000 0.0000 0.8036
Pd 0.0000 0.0000 0.1965
```



11.
Pm2Ga3Pd4Pb: optimized geometry, GGA-PBE. Values from VASP.

Geometry as Quantum ESPRESSO input:
```
&SYSTEM
  ibrav = 0, nat = 10, ntyp = 4
/
ATOMIC_SPECIES
Pm 145.00 Pm.upf
Ga 69.72 Ga.upf
Pd 106.42 Pd.upf
Pb 207.20 Pb.upf
CELL_PARAMETERS angstrom
-3.3112 -2.5587 1.0725
2.7727 -3.1100 1.1409
0.2444 3.9646 10.2129
ATOMIC_POSITIONS crystal
Pm 0.5000 0.0000 0.2395
Pm 0.0000 0.5000 0.7605
Ga 0.0000 0.0000 0.5000
Ga 0.5000 0.0000 0.8795
Ga 0.0000 0.5000 0.1205
Pd 0.5000 0.5000 0.0000
Pd 0.0000 0.0000 0.0000
Pd 0.5000 0.0000 0.6557
Pd 0.0000 0.5000 0.3443
Pb 0.5000 0.5000 0.5000
```



12.
Pr2Ga3Pd4Pb: optimized geometry, GGA-PBE. Values from VASP.

Geometry as Quantum ESPRESSO input:
```
&SYSTEM
  ibrav = 0, nat = 10, ntyp = 4
/
ATOMIC_SPECIES
Pr 140.91 Pr.upf
Ga 69.72 Ga.upf
Pd 106.42 Pd.upf
Pb 207.20 Pb.upf
CELL_PARAMETERS angstrom
-1.5578 3.5314 -2.0398
-3.1662 -2.4235 -1.7777
-6.4201 2.1106 8.5572
ATOMIC_POSITIONS crystal
Pr 0.5000 0.0000 0.2405
Pr 0.0000 0.5000 0.7595
Ga 0.0000 0.0000 0.5000
Ga 0.5000 0.0000 0.8804
Ga 0.0000 0.5000 0.1196
Pd 0.5000 0.5000 0.0000
Pd 0.0000 0.0000 0.0000
Pd 0.5000 0.0000 0.6542
Pd 0.0000 0.5000 0.3458
Pb 0.5000 0.5000 0.5000
```



Number 1: formation enthalpy at 0 K -221 meV per atom, DOS at the Fermi energy 1.3 states/eV/cell, M_tot 0.000 μB per atom. Number 2: formation enthalpy at 0 K -234 meV per atom, DOS at the Fermi energy 9.0 states/eV/cell, M_tot 0.000 μB per atom. Number 3: formation enthalpy at 0 K -219 meV per atom, DOS at the Fermi energy 7.2 states/eV/cell, M_tot 0.000 μB per atom. Number 4: formation enthalpy at 0 K 573 meV per atom, DOS at the Fermi energy 3.4 states/eV/cell, M_tot 0.000 μB per atom. Number 5: formation enthalpy at 0 K -178 meV per atom, DOS at the Fermi energy 1.0 states/eV/cell, M_tot 0.000 μB per atom. Number 6: formation enthalpy at 0 K -376 meV per atom, DOS at the Fermi energy 5.0 states/eV/cell, M_tot 0.000 μB per atom. Number 7: formation enthalpy at 0 K -36 meV per atom, DOS at the Fermi energy 4.2 states/eV/cell, M_tot 0.000 μB per atom. Number 8: formation enthalpy at 0 K -329 meV per atom, DOS at the Fermi energy 5.7 states/eV/cell, M_tot 0.000 μB per atom. Number 9: formation enthalpy at 0 K -190 meV per atom, DOS at the Fermi energy 3.2 states/eV/cell, M_tot 0.000 μB per atom. Number 10: formation enthalpy at 0 K -386 meV per atom, DOS at the Fermi energy 0.8 states/eV/cell, M_tot 0.000 μB per atom. Number 11: formation enthalpy at 0 K -705 meV per atom, DOS at the Fermi energy 6.2 states/eV/cell, M_tot 0.000 μB per atom. Number 12: formation enthalpy at 0 K -713 meV per atom, DOS at the Fermi energy 6.3 states/eV/cell, M_tot 0.000 μB per atom.